# 1
The following is a DFT calculation (PBE-GGA) of Th4Sc5 after structural relaxation.

Cell: 7.5607 7.5607 7.5607 Å, 96.03 96.03 142.18°
Closest atoms and distances in Å follow each position.
Fractional coordinates of all 9 atoms:
1 Th 0.0000 0.3273 0.3273  7 Sc 3.31-3.39, 5 Th 3.48-3.49
2 Th 0.0000 0.6727 0.6727  7 Sc 3.31-3.39, 5 Th 3.48-3.49
3 Th 0.3273 0.0000 0.3273  7 Sc 3.31-3.39, 5 Th 3.48-3.49
4 Th 0.6727 0.0000 0.6727  7 Sc 3.31-3.39, 5 Th 3.48-3.49
5 Sc 0.0000 0.0000 0.0000  4 Th 3.31, 8 Sc 3.41
6 Sc 0.3345 0.3345 0.6689  6 Sc 3.35-3.44, 6 Th 3.38-3.39
7 Sc 0.3345 0.6655 0.0000  6 Sc 3.35-3.44, 6 Th 3.38-3.39
8 Sc 0.6655 0.3345 0.0000  6 Sc 3.35-3.44, 6 Th 3.38-3.39
9 Sc 0.6655 0.6655 0.3311  6 Sc 3.35-3.44, 6 Th 3.38-3.39

Calculated values
Symmetry: I4/mmm, No. 139
Calculated volume: 251 Å³ per cell
DFT total energy: -60.93 eV/f.u.
Distance to the lowest polymorph of the same formula: 0 meV/atom
Energy relative to the elements: 45 meV per atom



# 2
The following is a DFT calculation (PBE-GGA) of Th2Sc17 after structural relaxation.

Cell: 8.0480 8.0480 8.0480 Å, 80.98 80.98 80.98°
Closest atoms and distances in Å follow each position.
Fractional coordinates of all 19 atoms:
1 Th 0.1636 0.1636 0.1636  16 Sc 3.68-4.06
2 Th 0.8364 0.8364 0.8364  16 Sc 3.68-4.06
3 Sc 0.0000 0.5000 0.5000  10 Sc 3.09-3.19
4 Sc 0.1370 0.1370 0.6511  6 Sc 3.04-3.09
5 Sc 0.1370 0.6511 0.1370  6 Sc 3.04-3.09
6 Sc 0.2015 0.5000 0.7985  8 Sc 3.09-3.46
7 Sc 0.2015 0.7985 0.5000  8 Sc 3.09-3.46
8 Sc 0.3489 0.8630 0.8630  6 Sc 3.04-3.09
9 Sc 0.3989 0.3989 0.3989  13 Sc 3.19-3.51
10 Sc 0.5000 0.0000 0.5000  10 Sc 3.09-3.19
11 Sc 0.5000 0.2015 0.7985  8 Sc 3.09-3.46
12 Sc 0.5000 0.5000 0.0000  10 Sc 3.09-3.19
13 Sc 0.5000 0.7985 0.2015  8 Sc 3.09-3.46
14 Sc 0.6011 0.6011 0.6011  13 Sc 3.19-3.51
15 Sc 0.6511 0.1370 0.1370  6 Sc 3.04-3.09
16 Sc 0.7985 0.2015 0.5000  8 Sc 3.09-3.46
17 Sc 0.7985 0.5000 0.2015  8 Sc 3.09-3.46
18 Sc 0.8630 0.3489 0.8630  6 Sc 3.04-3.09
19 Sc 0.8630 0.8630 0.3489  6 Sc 3.04-3.09

Calculated values
Symmetry: R-3m, No. 166
Calculated volume: 504 Å³ per cell
DFT total energy: -117.44 eV/f.u.
Energy relative to the elements: 265 meV per atom



What ρ values result from the calculations? In sequence: 7.6, 4.0 g/cm³.